First-principles (PBE) data for crystalline Tl2C at its relaxed geometry, as listed in Alexandria.

Its formation energy is 1256 meV/atom. For the relative energy among the computed polymorphs, the calculation gives 0.569 eV per atom. The space group is Pnma, No. 62. The calculation puts the density of states at the Fermi level at 2.11 states/eV per cell. Its volume is 276 Å³/cell. The value obtained for the total energy is -3.40 eV/atom.

Cell lengths 11.809, 3.711, 6.309 Å; angles 90.00, 90.00, 90.00 degrees
Fractional coordinates of all 12 atoms:
Tl 0.010 0.250 0.250
Tl 0.239 0.250 0.579
Tl 0.261 0.750 0.079
Tl 0.490 0.750 0.750
Tl 0.510 0.250 0.250
Tl 0.739 0.250 0.921
Tl 0.761 0.750 0.421
Tl 0.990 0.750 0.750
C 0.162 0.750 0.394
C 0.338 0.250 0.894
C 0.662 0.750 0.106
C 0.838 0.250 0.606